Entry from Alexandria via LeMat-Bulk: a relaxed structure of La2TeS (PBE).

Structure (CIF):
```
data_La2TeS
_chemical_formula_sum 'La8 Te4 S4'
_cell_length_a 7.560
_cell_length_b 7.560
_cell_length_c 7.560
_cell_angle_alpha 90.00
_cell_angle_beta 90.00
_cell_angle_gamma 90.00
_symmetry_space_group_name_H-M 'F m -3 m'
_symmetry_Int_Tables_number 225
_symmetry_space_group_name_Hall '-F 4 2 3'
loop_
_atom_site_label
_atom_site_fract_x
_atom_site_fract_y
_atom_site_fract_z
La1 0.250 0.250 0.250
Te1 0.000 0.000 0.000
S1 0.000 0.000 0.500
```

Energy in eV/cell: -93.40
Offset from the most stable computed form in eV/atom: 0.323
Formation energy (no corrections) in eV per atom: -1.557